Entry 1:
Ru2PtO2: optimized geometry, PBE.

```
Ru2PtO2
1.0
6.684 0.000 0.000
0.000 6.684 0.000
0.000 0.000 2.646
Ru O Pt
4 4 2
direct
0.148 0.648 0.500 Ru
0.648 0.852 0.500 Ru
0.852 0.352 0.500 Ru
0.352 0.148 0.500 Ru
0.379 0.879 0.000 O
0.879 0.621 0.000 O
0.621 0.121 0.000 O
0.121 0.379 0.000 O
0.000 0.000 0.000 Pt
0.500 0.500 0.000 Pt
```

Values from the calculation:
E_form (uncorrected) = 403 meV per atom
total magnetic moment = 0.000 Bohr magnetons per cell

Entry 2:
SnBiRuO6: optimized geometry, PBE.

```
SnBiRuO6
1.0
4.881 0.000 0.000
0.000 4.881 0.000
0.000 0.000 9.929
Sn Bi Ru O
2 2 2 12
direct
0.500 0.500 0.834 Sn
0.000 0.000 0.334 Sn
0.500 0.500 0.166 Bi
0.000 0.000 0.666 Bi
0.500 0.500 0.500 Ru
0.000 0.000 0.000 Ru
0.211 0.789 0.490 O
0.789 0.211 0.490 O
0.289 0.289 0.990 O
0.711 0.711 0.990 O
0.177 0.823 0.161 O
0.823 0.177 0.161 O
0.323 0.323 0.661 O
0.677 0.677 0.661 O
0.805 0.195 0.850 O
0.195 0.805 0.850 O
0.695 0.695 0.350 O
0.305 0.305 0.350 O
```

Values from the calculation:
E_form (uncorrected) = -1154 meV per atom
total magnetic moment = 3.352 Bohr magnetons per cell

Entry 3:
Pm2Zn4Ga3Hg: optimized geometry, PBE.

```
Pm2Zn4Ga3Hg
1.0
4.287 0.000 0.000
0.000 4.287 0.000
0.000 0.000 10.773
Pm Zn Ga Hg
2 4 3 1
direct
0.500 0.000 0.240 Pm
0.000 0.500 0.760 Pm
0.500 0.500 0.000 Zn
0.000 0.000 0.000 Zn
0.500 0.000 0.645 Zn
0.000 0.500 0.355 Zn
0.000 0.000 0.500 Ga
0.500 0.000 0.869 Ga
0.000 0.500 0.131 Ga
0.500 0.500 0.500 Hg
```

Values from the calculation:
total magnetic moment = 0.000 Bohr magnetons per cell
energy of formation from the pure elements = -402 kJ/mol of formula units

Entry 4:
LaGa3CoPd: optimized geometry, PBE.

```
LaGa3CoPd
1.0
6.084 0.000 0.000
0.000 7.367 0.000
0.000 -3.683 5.441
La Ga Co Pd
2 6 2 2
direct
0.750 0.246 0.493 La
0.250 0.754 0.507 La
0.250 0.228 0.456 Ga
0.000 0.241 0.000 Ga
0.500 0.759 0.000 Ga
0.500 0.241 0.000 Ga
0.000 0.759 0.000 Ga
0.750 0.772 0.544 Ga
0.250 0.023 0.046 Co
0.750 0.977 0.954 Co
0.250 0.448 0.896 Pd
0.750 0.552 0.104 Pd
```

Values from the calculation:
total magnetic moment = 0.397 Bohr magnetons per cell
energy of formation from the pure elements = -241 kJ/mol of formula units

Entry 5:
Mn2CoMo: optimized geometry, PBE.

```
Mn2CoMo
1.0
4.488 0.005 0.017
3.724 2.505 0.017
0.773 0.236 4.415
Co Mn Mo
1 2 1
direct
0.256 0.256 0.250 Co
0.998 0.998 0.988 Mn
0.743 0.743 0.779 Mn
0.503 0.503 0.483 Mo
```

Values from the calculation:
total magnetic moment = 0.017 Bohr magnetons per cell
energy of formation from the pure elements = 63 kJ/mol of formula units

Entry 6:
Tl2BiPd3: optimized geometry, PBE.

```
Tl2BiPd3
1.0
-1.097 -5.615 0.171
5.748 -1.174 -1.703
0.282 3.093 7.601
Tl Bi Pd
4 2 6
direct
0.723 0.518 0.364 Tl
0.641 0.018 0.364 Tl
0.359 0.982 0.636 Tl
0.277 0.482 0.636 Tl
0.784 0.750 0.000 Bi
0.216 0.250 0.000 Bi
0.722 0.250 0.000 Pd
0.278 0.750 0.000 Pd
0.120 0.125 0.289 Pd
0.831 0.375 0.711 Pd
0.169 0.625 0.289 Pd
0.880 0.875 0.711 Pd
```

Values from the calculation:
total magnetic moment = 0.000 Bohr magnetons per cell
energy of formation from the pure elements = -70 kJ/mol of formula units

Entry 7:
Pm4Si5Ag3: optimized geometry, PBE.

```
Pm4Si5Ag3
1.0
-3.487 2.977 0.399
-3.034 0.738 -5.477
-7.752 -5.914 2.925
Pm Si Ag
4 5 3
direct
0.864 0.275 0.996 Pm
0.205 0.931 0.659 Pm
0.795 0.069 0.341 Pm
0.136 0.725 0.004 Pm
0.566 0.997 0.872 Si
0.500 0.500 0.500 Si
0.200 0.383 0.217 Si
0.800 0.617 0.783 Si
0.434 0.003 0.128 Si
0.561 0.627 0.251 Ag
0.000 0.500 0.500 Ag
0.439 0.373 0.749 Ag
```

Values from the calculation:
E_form (uncorrected) = -326 meV per atom
total magnetic moment = 0.000 Bohr magnetons per cell

Entry 8:
SrHg2BiF: optimized geometry, PBE.

```
SrHg2BiF
1.0
-1.646 -4.827 3.675
-2.530 -1.597 -3.231
4.875 -3.319 -2.176
Sr F Bi Hg
1 1 1 2
direct
0.000 0.000 0.000 Sr
0.000 0.500 0.000 F
0.500 0.500 0.500 Bi
0.000 0.000 0.500 Hg
0.500 0.000 0.000 Hg
```

Values from the calculation:
E_form (uncorrected) = -830 meV per atom
total magnetic moment = 0.000 Bohr magnetons per cell

Entry 9:
CePm2SmN4: optimized geometry, PBE.

```
CePm2SmN4
1.0
-0.085 2.401 2.675
1.710 -4.415 4.016
5.067 2.753 -2.309
Ce Pm Sm N
1 2 1 4
direct
0.000 0.000 0.000 Ce
0.500 0.000 0.500 Pm
0.000 0.500 0.500 Pm
0.500 0.500 0.000 Sm
0.500 0.242 0.241 N
0.500 0.758 0.759 N
0.000 0.245 0.757 N
0.000 0.755 0.243 N
```

Values from the calculation:
E_form (uncorrected) = -1484 meV per atom
total magnetic moment = 0.000 Bohr magnetons per cell

Entry 10:
CeInGe2O8: optimized geometry, PBE.

```
CeInGe2O8
1.0
5.047 0.000 0.000
0.000 5.047 0.000
-2.523 -2.523 5.649
Ce In Ge O
1 1 2 8
direct
0.750 0.250 0.500 Ce
0.000 0.000 0.000 In
0.500 0.500 0.000 Ge
0.250 0.750 0.500 Ge
0.746 0.839 0.158 O
0.412 0.319 0.158 O
0.588 0.670 0.664 O
0.076 0.994 0.664 O
0.006 0.412 0.336 O
0.330 0.924 0.336 O
0.161 0.588 0.842 O
0.681 0.254 0.842 O
```

Values from the calculation:
E_form (uncorrected) = -1866 meV per atom
total magnetic moment = 1.089 Bohr magnetons per cell

Entry 11:
CeZrSi2O8: optimized geometry, PBE.

```
CeZrSi2O8
1.0
5.753 0.049 0.000
-2.508 5.178 0.000
-1.623 -2.614 4.862
Ce Zr Si O
1 1 2 8
direct
0.000 0.000 0.000 Ce
0.250 0.750 0.500 Zr
0.750 0.250 0.500 Si
0.500 0.500 0.000 Si
0.394 0.069 0.324 O
0.332 0.519 0.187 O
0.332 0.145 0.813 O
0.745 0.069 0.676 O
0.855 0.668 0.187 O
0.931 0.255 0.324 O
0.931 0.606 0.676 O
0.481 0.668 0.813 O
```

Values from the calculation:
E_form (uncorrected) = -3070 meV per atom
total magnetic moment = 0.000 Bohr magnetons per cell

Entry 12:
Co2Pb: optimized geometry, PBE.

```
Co2Pb
1.0
-1.063 2.753 1.675
-2.651 -1.750 1.193
2.416 -1.233 3.559
Co Pb
2 1
direct
0.000 0.500 0.500 Co
0.500 0.000 0.500 Co
0.000 0.000 0.000 Pb
```

Values from the calculation:
total magnetic moment = 2.970 Bohr magnetons per cell
energy of formation from the pure elements = 157 kJ/mol of formula units

Which value of total magnetic moment does entry 6 give?
0.000 Bohr magnetons per cell

What is the formula in the seventh record?
Pm4Si5Ag3

Which value of total magnetic moment does entry 2 give?
3.352 Bohr magnetons per cell